No. 1
BeFe2BPd: relaxed, PBE.

Properties
**SG**: P4/mmm
**D(E_F)**: 5.2 states/eV per cell
**Density**: 4.6 g cm⁻³
**Final energy**: -5.029 eV per atom

Cell: 4.7006 4.7006 3.8995 Å, 90.00 90.00 90.00°
Last column: nearest neighbours and their distance in Å.
Positions (direct):
Be: 0.0000 0.0000 0.0000  8 Fe 3.05, 4 B 3.32
Fe: 0.0000 0.5000 0.5000  2 Pd 2.35
Fe: 0.5000 0.0000 0.5000  2 Pd 2.35
B: 0.5000 0.5000 0.0000  2 Pd 1.95
Pd: 0.5000 0.5000 0.5000  2 B 1.95

No. 2
Pu5Fe: relaxed, PBE.

Properties
**SG**: Cmmm
**D(E_F)**: 54.0 states/eV per cell
**Density**: 16.2 g cm⁻³
**Final energy**: -13.114 eV per atom

Cell: 5.0313 13.8373 3.7653 Å, 90.00 90.00 90.00°
Last column: nearest neighbours and their distance in Å.
Positions (direct):
Pu: 0.0000 0.0000 0.0000  8 Pu 2.98-3.10, 4 Fe 3.14
Pu: 0.0000 0.1673 0.5000  6 Pu 2.98-3.18
Pu: 0.0000 0.3694 0.0000  2 Fe 2.61
Pu: 0.0000 0.6306 0.0000  2 Fe 2.61
Pu: 0.0000 0.8327 0.5000  6 Pu 2.98-3.18
Pu: 0.5000 0.1306 0.0000  2 Fe 2.61
Pu: 0.5000 0.3327 0.5000  6 Pu 2.98-3.18
Pu: 0.5000 0.5000 0.0000  8 Pu 2.98-3.10, 4 Fe 3.14
Pu: 0.5000 0.6673 0.5000  6 Pu 2.98-3.18
Pu: 0.5000 0.8694 0.0000  2 Fe 2.61
Fe: 0.0000 0.5000 0.5000  4 Pu 2.61
Fe: 0.5000 0.0000 0.5000  4 Pu 2.61

No. 3
TlPb4Au4: relaxed, PBE.

Properties
**SG**: P4_2/nmc
**ΔE to the lowest computed polymorph**: 26 meV/atom
**D(E_F)**: 7.7 states/eV per cell
**Density**: 11.6 g cm⁻³

Cell: 7.4063 7.4063 9.4787 Å, 90.00 90.00 90.00°
Last column: nearest neighbours and their distance in Å.
Positions (direct):
Tl: 0.2500 0.7500 0.2500  4 Pb 3.81, 12 Au 4.00-4.22
Tl: 0.7500 0.2500 0.7500  4 Pb 3.81, 12 Au 4.00-4.22
Pb: 0.0052 0.7500 0.6036  5 Au 2.90-3.02
Pb: 0.2500 0.5052 0.8964  5 Au 2.90-3.02
Pb: 0.2500 0.9948 0.8964  5 Au 2.90-3.02
Pb: 0.4948 0.7500 0.6036  5 Au 2.90-3.02
Pb: 0.5052 0.2500 0.3964  5 Au 2.90-3.02
Pb: 0.7500 0.0052 0.1036  5 Au 2.90-3.02
Pb: 0.7500 0.4948 0.1036  5 Au 2.90-3.02
Pb: 0.9948 0.2500 0.3964  5 Au 2.90-3.02
Au: 0.0600 0.2500 0.0951  1 Au 2.81, 5 Pb 2.90-3.02
Au: 0.2500 0.0600 0.5951  1 Au 2.81, 5 Pb 2.90-3.02
Au: 0.2500 0.4400 0.5951  1 Au 2.81, 5 Pb 2.90-3.02
Au: 0.4400 0.2500 0.0951  1 Au 2.81, 5 Pb 2.90-3.02
Au: 0.5600 0.7500 0.9049  1 Au 2.81, 5 Pb 2.90-3.02
Au: 0.7500 0.5600 0.4049  1 Au 2.81, 5 Pb 2.90-3.02
Au: 0.7500 0.9400 0.4049  1 Au 2.81, 5 Pb 2.90-3.02
Au: 0.9400 0.7500 0.9049  1 Au 2.81, 5 Pb 2.90-3.02

Which of these has the lowest D(E_F)?
BeFe2BPd

Copy entry 2 word for word.
Pu5Fe: relaxed, PBE.

Properties
**SG**: Cmmm
**D(E_F)**: 54.0 states/eV per cell
**Density**: 16.2 g cm⁻³
**Final energy**: -13.114 eV per atom

Cell: 5.0313 13.8373 3.7653 Å, 90.00 90.00 90.00°
Last column: nearest neighbours and their distance in Å.
Positions (direct):
Pu: 0.0000 0.0000 0.0000  8 Pu 2.98-3.10, 4 Fe 3.14
Pu: 0.0000 0.1673 0.5000  6 Pu 2.98-3.18
Pu: 0.0000 0.3694 0.0000  2 Fe 2.61
Pu: 0.0000 0.6306 0.0000  2 Fe 2.61
Pu: 0.0000 0.8327 0.5000  6 Pu 2.98-3.18
Pu: 0.5000 0.1306 0.0000  2 Fe 2.61
Pu: 0.5000 0.3327 0.5000  6 Pu 2.98-3.18
Pu: 0.5000 0.5000 0.0000  8 Pu 2.98-3.10, 4 Fe 3.14
Pu: 0.5000 0.6673 0.5000  6 Pu 2.98-3.18
Pu: 0.5000 0.8694 0.0000  2 Fe 2.61
Fe: 0.0000 0.5000 0.5000  4 Pu 2.61
Fe: 0.5000 0.0000 0.5000  4 Pu 2.61

Among the records above, which one has the highest density?
Pu5Fe